Below is an optimized crystal structure of Na4Ac3TiSe8, with properties calculated at the PBE-GGA level.

Cell lengths 8.647, 8.647, 8.647 Å; angles 60.43, 60.43, 60.43 degrees
Atoms (fractional coordinates):
Na  0.000  0.000  0.000
Na  0.000  0.500  0.500
Na  0.500  0.000  0.500
Na  0.500  0.500  0.000
Ac  0.000  0.000  0.500
Ac  0.000  0.500  0.000
Ac  0.500  0.000  0.000
Ti  0.500  0.500  0.500
Se  0.251  0.251  0.251
Se  0.274  0.274  0.723
Se  0.274  0.723  0.274
Se  0.277  0.726  0.726
Se  0.723  0.274  0.274
Se  0.726  0.277  0.726
Se  0.726  0.726  0.277
Se  0.749  0.749  0.749

Crystal system: trigonal
Total DFT energy (no corrections): -4.850 eV per atom
E_form (uncorrected): -24.2 eV/f.u.
DOS(E_F): 0.401 states/eV/atom



Below is an optimized crystal structure of PmGe2Au, with properties calculated at the PBE-GGA level.

Cell lengths 4.941, 4.941, 4.941 Å; angles 60.00, 60.00, 60.00 degrees
Atoms (fractional coordinates):
Pm  0.000  0.000  0.000
Ge  0.250  0.250  0.250
Ge  0.750  0.750  0.750
Au  0.500  0.500  0.500

Crystal system: cubic
DFT formation energy: -0.291 eV/atom
Total DFT energy (no corrections): -4.607 eV per atom
DOS(E_F): 0.116 states/eV/atom



Below is an optimized crystal structure of Sr4BiAsO, with properties calculated at the PBE-GGA level.

Cell lengths 9.426, 9.426, 9.426 Å; angles 149.59, 149.59, 43.55 degrees
Atoms (fractional coordinates):
Sr  0.000  0.000  0.000
Sr  0.195  0.695  0.500
Sr  0.353  0.353  0.000
Sr  0.695  0.195  0.500
Bi  0.549  0.549  0.000
As  0.821  0.821  0.000
O  0.212  0.212  0.000

Crystal system: tetragonal
Total DFT energy (no corrections): -4.438 eV per atom
E_form (uncorrected): -10.9 eV/f.u.



Below is an optimized crystal structure of PuIn2Rh2, with properties calculated at the PBE-GGA level.

Cell lengths 4.518, 4.756, 9.877 Å; angles 90.00, 90.00, 90.00 degrees
Atoms (fractional coordinates):
Pu  0.250  0.250  0.172
Pu  0.750  0.750  0.828
In  0.250  0.250  0.515
In  0.250  0.250  0.824
In  0.750  0.750  0.176
In  0.750  0.750  0.485
Rh  0.250  0.750  0.663
Rh  0.250  0.750  0.997
Rh  0.750  0.250  0.003
Rh  0.750  0.250  0.337

Crystal system: orthorhombic
DFT formation energy: -0.387 eV/atom
Total DFT energy (no corrections): -7.289 eV per atom
DOS(E_F): 1.520 states/eV/atom



Below is an optimized crystal structure of LiTh2UP4, with properties calculated at the PBE-GGA level.

Cell lengths 6.902, 4.087, 7.011 Å; angles 90.00, 109.57, 90.00 degrees
Atoms (fractional coordinates):
Li  0.000  0.000  0.000
Th  0.500  0.000  0.500
Th  0.500  0.500  0.000
U  0.000  0.500  0.500
P  0.234  0.000  0.744
P  0.239  0.500  0.254
P  0.761  0.500  0.746
P  0.766  0.000  0.256

Crystal system: monoclinic
DFT formation energy: -1.079 eV/atom
Total DFT energy (no corrections): -7.289 eV per atom
DOS(E_F): 0.942 states/eV/atom



Below is an optimized crystal structure of Pr3NdIn4, with properties calculated at the PBE-GGA level.

Cell lengths 10.398, 10.398, 10.398 Å; angles 159.69, 138.75, 46.39 degrees
Atoms (fractional coordinates):
Pr  0.000  0.000  0.000
Pr  0.284  0.784  0.500
Pr  0.716  0.216  0.500
Nd  0.500  0.500  0.000
In  0.080  0.373  0.707
In  0.333  0.627  0.707
In  0.667  0.373  0.293
In  0.920  0.627  0.293

Crystal system: orthorhombic
DFT formation energy: -0.319 eV/atom
Total DFT energy (no corrections): -4.076 eV per atom
DOS(E_F): 1.018 states/eV/atom



Below is an optimized crystal structure of LiEr2Pb3Se6, with properties calculated at the PBE-GGA level.

Cell lengths 9.502, 9.502, 9.059 Å; angles 108.17, 108.17, 24.88 degrees
Atoms (fractional coordinates):
Li  0.000  0.000  0.000
Er  0.342  0.342  0.665
Er  0.658  0.658  0.335
Pb  0.000  0.000  0.500
Pb  0.328  0.328  0.141
Pb  0.672  0.672  0.859
Se  0.153  0.153  0.118
Se  0.175  0.175  0.567
Se  0.499  0.499  0.244
Se  0.501  0.501  0.756
Se  0.825  0.825  0.433
Se  0.847  0.847  0.882

Crystal system: monoclinic
Total DFT energy (no corrections): -4.666 eV per atom
E_form (uncorrected): -12.9 eV/f.u.
DOS(E_F): 0.250 states/eV/atom